1.
The following is a DFT calculation (PBE-GGA) of a geometry-optimized FeReAu structure.

The structure in extended XYZ format:
```
3
Lattice="4.890 0.011 -0.003 2.747 4.045 0.003 -3.526 -2.578 2.197" Properties=species:S:1:pos:R:3 pbc="T T T"
Au 7.617 4.045 0.000
Fe 2.402 1.276 0.000
Re 5.255 2.791 0.000
```

Values from the calculation:
ΔH_f (0 K) = 0.398 eV/atom
energy relative to the lowest polymorph listed for this composition = 114 meV/atom

---

2.
The following is a DFT calculation (PBE-GGA) of a geometry-optimized Fe2ReAu structure.

The structure in extended XYZ format:
```
4
Lattice="-4.286 -2.624 -0.851 0.115 -5.058 0.617 0.644 4.561 2.183" Properties=species:S:1:pos:R:3 pbc="T T T"
Au -0.618 -2.087 1.344
Fe -4.087 -7.526 -0.230
Fe -2.911 -1.039 0.605
Re -2.168 -3.993 -0.122
```

Values from the calculation:
ΔH_f (0 K) = 0.347 eV/atom
energy relative to the lowest polymorph listed for this composition = 162 meV/atom

---

3.
The following is a DFT calculation (PBE-GGA) of a geometry-optimized FeReAu structure.

The structure in extended XYZ format:
```
3
Lattice="-5.962 -2.308 -2.986 -4.159 -4.259 -3.439 -1.598 -0.664 2.066" Properties=species:S:1:pos:R:3 pbc="T T T"
Au -10.072 -6.533 -6.376
Fe -4.380 -2.591 -0.706
Re -7.388 -4.674 -3.702
```

Values from the calculation:
ΔH_f (0 K) = 0.352 eV/atom
energy relative to the lowest polymorph listed for this composition = 68 meV/atom

---

4.
The following is a DFT calculation (PBE-GGA) of a geometry-optimized FeReAu structure.

The structure in extended XYZ format:
```
3
Lattice="-1.543 3.774 -0.467 -4.058 0.535 -0.303 -2.073 1.764 3.072" Properties=species:S:1:pos:R:3 pbc="T T T"
Au -3.837 3.037 1.151
Fe -5.755 4.555 1.726
Re 0.000 0.000 0.000
```

Values from the calculation:
ΔH_f (0 K) = 0.681 eV/atom
energy relative to the lowest polymorph listed for this composition = 398 meV/atom

---

5.
The following is a DFT calculation (PBE-GGA) of a geometry-optimized Fe2ReAu structure.

The structure in extended XYZ format:
```
4
Lattice="-7.171 4.184 3.083 -8.196 1.631 2.933 -6.779 2.417 5.161" Properties=species:S:1:pos:R:3 pbc="T T T"
Au -16.609 6.174 8.382
Fe -22.057 8.199 11.132
Fe -11.161 4.149 5.633
Re -5.536 2.058 2.794
```

Values from the calculation:
ΔH_f (0 K) = 0.265 eV/atom
energy relative to the lowest polymorph listed for this composition = 80 meV/atom

---

6.
The following is a DFT calculation (PBE-GGA) of a geometry-optimized FeReAu structure.

The structure in extended XYZ format:
```
3
Lattice="6.019 -0.005 0.000 4.738 3.713 0.000 -5.378 -1.854 1.966" Properties=species:S:1:pos:R:3 pbc="T T T"
Au 10.700 3.688 0.000
Fe 3.433 1.183 0.000
Re 7.381 2.544 0.000
```

Values from the calculation:
ΔH_f (0 K) = 0.284 eV/atom
energy relative to the lowest polymorph listed for this composition = 0 meV/atom